1.
A plane-wave DFT calculation with PBE was carried out for TiSe2O8 after structural relaxation.

a = 5.4185 Å, b = 5.4185 Å, c = 6.4807 Å
α = 90.00°, β = 90.00°, γ = 120.00°
Space group P-3m1 (No. 164)
One atom of each set of equivalent atoms:
Ti: 0.0000 0.0000 0.0000 [1 per cell]
Se: 0.3333 0.6667 0.7235 [2 per cell]
O: 0.1676 0.3353 0.8226 [6 per cell]
O: 0.3333 0.6667 0.4746 [2 per cell]

=====

2.
A plane-wave DFT calculation with PBE was carried out for Ti2Se2O after structural relaxation.

E above lowest polymorph ... 1356.5 meV/atom

a = 4.1210 Å, b = 4.1210 Å, c = 11.2105 Å
α = 90.00°, β = 90.00°, γ = 90.00°
Space group I4/mmm (No. 139)
One atom of each set of equivalent atoms:
Ti: 0.0000 0.0000 0.1182 [4 per cell]
Se: 0.0000 0.5000 0.2500 [4 per cell]
O: 0.0000 0.0000 0.5000 [2 per cell]

=====

3.
A plane-wave DFT calculation with PBE was carried out for Ti2Se2O after structural relaxation.

E above lowest polymorph ... 494.9 meV/atom

a = 6.2480 Å, b = 6.2480 Å, c = 3.8725 Å
α = 90.00°, β = 90.00°, γ = 90.00°
Space group P4/mbm (No. 127)
One atom of each set of equivalent atoms:
Ti: 0.1633 0.3367 0.0000 [4 per cell]
Se: 0.1541 0.6541 0.5000 [4 per cell]
O: 0.0000 0.0000 0.0000 [2 per cell]

=====

4.
A plane-wave DFT calculation with PBE was carried out for TiSe2O after structural relaxation.

a = 3.6268 Å, b = 3.6268 Å, c = 20.3013 Å
α = 90.00°, β = 90.00°, γ = 120.00°
Space group R-3m (No. 166, hexagonal axes)
One atom of each set of equivalent atoms:
Ti: 0.0000 0.0000 0.0000 [3 per cell]
Se: 0.0000 0.0000 0.4061 [6 per cell]
O: 0.0000 0.0000 0.5000 [3 per cell]

=====

5.
A plane-wave DFT calculation with PBE was carried out for TiSe3O after structural relaxation.

E above lowest polymorph ... 0.0 meV/atom

a = 4.4455 Å, b = 4.4455 Å, c = 4.4455 Å
α = 90.00°, β = 90.00°, γ = 90.00°
Space group Pm-3m (No. 221)
One atom of each set of equivalent atoms:
Ti: 0.0000 0.0000 0.0000 [1 per cell]
Se: 0.0000 0.5000 0.5000 [3 per cell]
O: 0.5000 0.5000 0.5000 [1 per cell]

=====

6.
A plane-wave DFT calculation with PBE was carried out for TiSeO4 after structural relaxation.

a = 5.5146 Å, b = 5.5192 Å, c = 7.5398 Å
α = 90.00°, β = 90.00°, γ = 90.00°
Space group P222 (No. 16)
One atom of each set of equivalent atoms:
Ti: 0.0000 0.0000 0.0000 [1 per cell]
Ti: 0.0000 0.5000 0.5000 [1 per cell]
Se: 0.0000 0.0000 0.5000 [1 per cell]
Se: 0.5000 0.0000 0.0000 [1 per cell]
O: 0.1711 0.2612 0.3803 [4 per cell]
O: 0.2402 0.1716 0.8810 [4 per cell]

=====

Asked for raw formation energy across the records above, the calculation gives -1130; -206; -1068; -622; 171; -1422 meV per atom in order.
Asked for DOS(E_F) across the records above, the calculation gives 0.00; 0.32; 2.78; 1.88; 5.85; 0.00 states/eV per cell in order.